Below is crystalline Ti5Zn4Pd at its relaxed geometry, with properties calculated at the PBE level.

a = 3.1533 Å, b = 3.1533 Å, c = 15.7096 Å
α = 90.00°, β = 90.00°, γ = 90.00°
Last column: nearest neighbours and their distance in Å.
Space group P4/mmm (No. 123)
Inequivalent atoms, fractional coordinates:
Ti: 0.0000 0.0000 0.0000 x1  8 Zn 2.72
Ti: 0.0000 0.0000 0.1989 x2  8 Zn 2.72
Ti: 0.0000 0.0000 0.3980 x2  4 Zn 2.73, 4 Pd 2.75
Zn: 0.5000 0.5000 0.0995 x2  8 Ti 2.72
Zn: 0.5000 0.5000 0.2978 x2  8 Ti 2.72-2.73
Pd: 0.5000 0.5000 0.5000 x1  8 Ti 2.75

## Properties
V (Å³ per atom): 15.62
Spin magnetization (μB per atom): 0.002
Energy of formation from the pure elements (kJ/mol of atoms): -23
N(E_F) (states/eV per atom): 0.715